Record 1
# PmTh4N4 PBE-GGA optimized geometry
# **Total magnetic moment**: 0.00 μB per formula unit
# **Fermi-level density of states**: 11.15 states/eV/cell
# **Formation energy from raw total energies**: -1.328 eV/atom
data_PmTh4N4
_chemical_formula_sum 'Pm2 Th8 N8'
_cell_length_a 11.5676
_cell_length_b 5.1742
_cell_length_c 8.1731
_cell_angle_alpha 90.00
_cell_angle_beta 134.95
_cell_angle_gamma 90.00
_space_group_name_H-M_alt 'C 1 2/m 1'
_space_group_IT_number 12
_space_group_name_Hall '-C 2y'
loop_
_atom_site_label
_atom_site_fract_x
_atom_site_fract_y
_atom_site_fract_z
Pm1 0.0000 0.0000 0.0000
Th1 0.1077 0.5000 0.4157
Th2 0.1917 0.0000 0.7995
N1 0.1014 0.0000 0.4092
N2 0.1920 0.5000 0.7928

Record 2
# Mg2Zn4Au3 PBE-GGA optimized geometry
# **Total magnetic moment**: 0.00 μB per formula unit
# **ΔE_f**: -0.287 eV per atom
# **Fermi-level density of states**: 3.68 states/eV/cell
data_Mg2Zn4Au3
_chemical_formula_sum 'Mg4 Zn8 Au6'
_cell_length_a 9.0293
_cell_length_b 4.0223
_cell_length_c 8.5445
_cell_angle_alpha 90.00
_cell_angle_beta 106.66
_cell_angle_gamma 90.00
_space_group_name_H-M_alt 'C 1 2/m 1'
_space_group_IT_number 12
_space_group_name_Hall '-C 2y'
loop_
_atom_site_label
_atom_site_fract_x
_atom_site_fract_y
_atom_site_fract_z
Mg1 0.1614 0.0000 0.2275
Zn1 0.9998 0.5000 0.3409
Zn2 0.1694 0.0000 0.8947
Au1 0.0000 0.5000 0.0000
Au2 0.1714 0.0000 0.5758

- Which of these has the highest Fermi-level density of states?
  PmTh4N4